Record 1
CrMoPt2 after structural relaxation. Source: the Alexandria database, functional GGA-PBE.

The structure in CIF format:
```
data_CrMoPt2
_cell_length_a 4.779
_cell_length_b 4.779
_cell_length_c 4.779
_cell_angle_alpha 131.62
_cell_angle_beta 131.62
_cell_angle_gamma 70.83
_symmetry_space_group_name_H-M 'P 1'
_symmetry_Int_Tables_number 1
loop_
_symmetry_equiv_pos_as_xyz
'x,y,z'
loop_
_atom_site_label
_atom_site_type_symbol
_atom_site_fract_x
_atom_site_fract_y
_atom_site_fract_z
Pt1 Pt 0.750 0.250 0.500
Pt2 Pt 0.000 0.000 0.000
Cr1 Cr 0.500 0.500 0.000
Mo1 Mo 0.250 0.750 0.500
```

Total magnetic moment: 0.526 μB per atom
DOS at the Fermi energy: 1.15 states/eV per atom
ΔH_f (0 K): -0.174 eV/atom
Excess energy over the best structure of this formula in the dataset: 0.27 eV per formula unit

Record 2
CrMoPt3 after structural relaxation. Source: the Alexandria database, functional GGA-PBE.

The structure in CIF format:
```
data_CrMoPt3
_cell_length_a 4.566
_cell_length_b 4.566
_cell_length_c 4.566
_cell_angle_alpha 90.00
_cell_angle_beta 90.00
_cell_angle_gamma 90.00
_symmetry_space_group_name_H-M 'P 1'
_symmetry_Int_Tables_number 1
loop_
_symmetry_equiv_pos_as_xyz
'x,y,z'
loop_
_atom_site_label
_atom_site_type_symbol
_atom_site_fract_x
_atom_site_fract_y
_atom_site_fract_z
Mo1 Mo 0.500 0.500 0.500
Cr1 Cr 0.000 0.000 0.000
Pt1 Pt 0.000 0.000 0.500
Pt2 Pt 0.000 0.500 0.000
Pt3 Pt 0.500 0.000 0.000
```

Total magnetic moment: 0.700 μB per atom
DOS at the Fermi energy: 0.96 states/eV per atom
ΔH_f (0 K): 1.133 eV/atom